A plane-wave DFT calculation with PBE was carried out for an optimized crystal structure of Ba2IrW.

Unit cell a=3.272 b=5.268 c=5.959 alpha=90.00 beta=95.14 gamma=90.00
Element x y z (fractional)
1 Ba 0.077 0.000 0.254
2 Ba 0.923 0.000 0.746
3 Ir 0.500 0.500 0.500
4 W 0.500 0.500 0.000

The crystal system is monoclinic. The value obtained for the energy relative to the lowest polymorph listed for this composition is 1130 meV/atom. The space group is P2/m (10).

=====

A plane-wave DFT calculation with PBE was carried out for an optimized crystal structure of Sm8AlCo2.

Unit cell a=8.020 b=8.020 c=5.289 alpha=97.11 beta=97.11 gamma=113.26
Element x y z (fractional)
1 Sm 0.118 0.118 0.807
2 Sm 0.177 0.433 0.434
3 Sm 0.249 0.751 0.000
4 Sm 0.433 0.177 0.434
5 Sm 0.567 0.823 0.566
6 Sm 0.751 0.249 0.000
7 Sm 0.823 0.567 0.566
8 Sm 0.882 0.882 0.193
9 Al 0.500 0.500 0.000
10 Co 0.193 0.807 0.500
11 Co 0.807 0.193 0.500

The crystal system is monoclinic. The calculation puts the calculated total energy at -5.095 eV per atom. The space group is C2/m (12).

=====

A plane-wave DFT calculation with PBE was carried out for an optimized crystal structure of UCoHRu2.

Unit cell a=4.031 b=4.031 c=3.846 alpha=90.00 beta=90.00 gamma=90.00
Element x y z (fractional)
1 U 0.000 0.000 0.000
2 Co 0.500 0.500 0.000
3 H 0.500 0.500 0.500
4 Ru 0.000 0.500 0.500
5 Ru 0.500 0.000 0.500

The crystal system is tetragonal. The calculation puts the calculated total energy at -8.326 eV per atom. The space group is P4/mmm (123).

=====

A plane-wave DFT calculation with PBE was carried out for an optimized crystal structure of Sc3Si2Pt.

Unit cell a=10.813 b=4.120 c=10.283 alpha=90.00 beta=90.00 gamma=90.00
Element x y z (fractional)
1 Sc 0.051 0.250 0.120
2 Sc 0.129 0.750 0.570
3 Sc 0.213 0.250 0.812
4 Sc 0.287 0.750 0.312
5 Sc 0.371 0.250 0.070
6 Sc 0.449 0.750 0.620
7 Sc 0.551 0.250 0.380
8 Sc 0.629 0.750 0.930
9 Sc 0.713 0.250 0.688
10 Sc 0.787 0.750 0.188
11 Sc 0.871 0.250 0.430
12 Sc 0.949 0.750 0.880
13 Si 0.012 0.750 0.308
14 Si 0.187 0.750 0.012
15 Si 0.313 0.250 0.512
16 Si 0.488 0.250 0.808
17 Si 0.512 0.750 0.192
18 Si 0.687 0.750 0.488
19 Si 0.813 0.250 0.988
20 Si 0.988 0.250 0.692
21 Pt 0.126 0.250 0.371
22 Pt 0.374 0.750 0.871
23 Pt 0.626 0.250 0.129
24 Pt 0.874 0.750 0.629

The crystal system is orthorhombic. The space group is Pnma (62). The energy relative to the elements, uncorrected is -0.91 eV/atom.

=====

A plane-wave DFT calculation with PBE was carried out for an optimized crystal structure of InGaIO2.

Unit cell a=4.237 b=4.237 c=6.381 alpha=90.00 beta=90.00 gamma=90.00
Element x y z (fractional)
1 In 0.000 0.000 0.000
2 Ga 0.500 0.500 0.500
3 I 0.000 0.000 0.500
4 O 0.000 0.500 0.000
5 O 0.500 0.000 0.000

The crystal system is tetragonal. The value obtained for the energy relative to the lowest polymorph listed for this composition is 0 meV/atom. The space group is P4/mmm (123). The energy relative to the elements, uncorrected is -0.34 eV/atom.

=====

A plane-wave DFT calculation with PBE was carried out for an optimized crystal structure of Pr14PuMg.

Unit cell a=10.364 b=7.317 c=7.317 alpha=90.00 beta=90.00 gamma=90.00
Element x y z (fractional)
1 Pr 0.000 0.000 0.000
2 Pr 0.000 0.002 0.498
3 Pr 0.000 0.498 0.002
4 Pr 0.000 0.500 0.500
5 Pr 0.255 0.750 0.750
6 Pr 0.257 0.250 0.750
7 Pr 0.257 0.750 0.250
8 Pr 0.259 0.250 0.250
9 Pr 0.500 0.502 0.997
10 Pr 0.500 0.997 0.502
11 Pr 0.741 0.250 0.250
12 Pr 0.743 0.250 0.750
13 Pr 0.743 0.750 0.250
14 Pr 0.745 0.750 0.750
15 Pu 0.500 0.000 0.000
16 Mg 0.500 0.500 0.500

The crystal system is orthorhombic. The calculation puts the calculated total energy at -5.144 eV per atom. The space group is Amm2 (38).

=====

A plane-wave DFT calculation with PBE was carried out for an optimized crystal structure of BaAg2Au2.

Unit cell a=8.227 b=8.227 c=3.379 alpha=90.00 beta=90.00 gamma=90.00
Element x y z (fractional)
1 Ba 0.000 0.000 0.000
2 Ba 0.500 0.500 0.000
3 Ag 0.120 0.380 0.000
4 Ag 0.380 0.880 0.000
5 Ag 0.620 0.120 0.000
6 Ag 0.880 0.620 0.000
7 Au 0.173 0.673 0.500
8 Au 0.327 0.173 0.500
9 Au 0.673 0.827 0.500
10 Au 0.827 0.327 0.500

The crystal system is tetragonal. The value obtained for the energy relative to the lowest polymorph listed for this composition is 166 meV/atom. The space group is P4/mbm (127).

=====

A plane-wave DFT calculation with PBE was carried out for an optimized crystal structure of TlTe2CI.

Unit cell a=4.694 b=4.694 c=8.643 alpha=90.00 beta=90.00 gamma=90.00
Element x y z (fractional)
1 Tl 0.000 0.000 0.000
2 Te 0.000 0.500 0.500
3 Te 0.500 0.000 0.500
4 C 0.500 0.500 0.500
5 I 0.500 0.500 0.000

The crystal system is tetragonal. The value obtained for the energy relative to the lowest polymorph listed for this composition is 0 meV/atom. The space group is P4/mmm (123). The energy relative to the elements, uncorrected is 0.80 eV/atom.

=====

A plane-wave DFT calculation with PBE was carried out for an optimized crystal structure of Tb3Cu3Rh2.

Unit cell a=7.279 b=16.095 c=5.310 alpha=90.00 beta=90.00 gamma=90.00
Element x y z (fractional)
1 Tb 0.034 0.105 0.120
2 Tb 0.034 0.395 0.120
3 Tb 0.169 0.250 0.637
4 Tb 0.331 0.750 0.137
5 Tb 0.466 0.605 0.620
6 Tb 0.466 0.895 0.620
7 Tb 0.534 0.105 0.380
8 Tb 0.534 0.395 0.380
9 Tb 0.669 0.250 0.863
10 Tb 0.831 0.750 0.363
11 Tb 0.966 0.605 0.880
12 Tb 0.966 0.895 0.880
13 Cu 0.175 0.027 0.591
14 Cu 0.175 0.473 0.591
15 Cu 0.178 0.750 0.639
16 Cu 0.322 0.250 0.139
17 Cu 0.325 0.527 0.091
18 Cu 0.325 0.973 0.091
19 Cu 0.675 0.027 0.909
20 Cu 0.675 0.473 0.909
21 Cu 0.678 0.750 0.861
22 Cu 0.822 0.250 0.361
23 Cu 0.825 0.527 0.409
24 Cu 0.825 0.973 0.409
25 Rh 0.118 0.617 0.368
26 Rh 0.118 0.883 0.368
27 Rh 0.382 0.117 0.868
28 Rh 0.382 0.383 0.868
29 Rh 0.618 0.617 0.132
30 Rh 0.618 0.883 0.132
31 Rh 0.882 0.117 0.632
32 Rh 0.882 0.383 0.632

The crystal system is orthorhombic. The calculation puts the calculated total energy at -5.586 eV per atom. The space group is Pnma (62).

=====

A plane-wave DFT calculation with PBE was carried out for an optimized crystal structure of TbPm2Dy3Bi6.

Unit cell a=10.089 b=10.089 c=9.026 alpha=102.86 beta=102.86 gamma=25.85
Element x y z (fractional)
1 Tb 0.000 0.000 0.000
2 Pm 0.334 0.334 0.667
3 Pm 0.666 0.666 0.333
4 Dy 0.000 0.000 0.500
5 Dy 0.332 0.332 0.166
6 Dy 0.668 0.668 0.834
7 Bi 0.165 0.165 0.587
8 Bi 0.166 0.166 0.078
9 Bi 0.498 0.498 0.250
10 Bi 0.502 0.502 0.750
11 Bi 0.834 0.834 0.922
12 Bi 0.835 0.835 0.413

The crystal system is monoclinic. The calculation puts the calculated total energy at -5.157 eV per atom. The space group is C2/m (12).

=====

A plane-wave DFT calculation with PBE was carried out for an optimized crystal structure of Mo4N.

Unit cell a=4.129 b=4.129 c=4.129 alpha=90.00 beta=90.00 gamma=90.00
Element x y z (fractional)
1 Mo 0.000 0.000 0.000
2 Mo 0.000 0.500 0.500
3 Mo 0.500 0.000 0.500
4 Mo 0.500 0.500 0.000
5 N 0.500 0.500 0.500

The crystal system is cubic. The space group is Pm-3m (221). The energy relative to the elements, uncorrected is -0.03 eV/atom.

=====

A plane-wave DFT calculation with PBE was carried out for an optimized crystal structure of Ga2RhCl.

Unit cell a=6.707 b=6.707 c=6.707 alpha=124.38 beta=124.38 gamma=82.57
Element x y z (fractional)
1 Ga 0.079 0.625 0.954
2 Ga 0.375 0.329 0.454
3 Ga 0.671 0.125 0.046
4 Ga 0.875 0.921 0.546
5 Rh 0.000 0.000 0.000
6 Rh 0.750 0.250 0.500
7 Cl 0.250 0.750 0.500
8 Cl 0.500 0.500 0.000

The crystal system is tetragonal. The space group is I-42d (122). The energy relative to the elements, uncorrected is -0.19 eV/atom.

=====

| no. | Fermi-level density of states (states/eV/f.u.) |
| --- | --- |
| 1 | 4.1 |
| 2 | 12.9 |
| 3 | 3.1 |
| 4 | 4.2 |
| 5 | 2.5 |
| 6 | 30.4 |
| 7 | 1.6 |
| 8 | 3.8 |
| 9 | 4.7 |
| 10 | 2.0 |
| 11 | 7.7 |
| 12 | 0.0 |